(1)
Compound: AcLa2PrPt4
Source: the Alexandria database
Functional: GGA-PBE
Structure: optimized geometry

Structure (CIF):
```
data_AcLa2PrPt4
_symmetry_space_group_name_H-M 'P 1'
_symmetry_Int_Tables_number 1
_cell_length_a 6.061
_cell_length_b 6.061
_cell_length_c 7.414
_cell_angle_alpha 114.12
_cell_angle_beta 114.12
_cell_angle_gamma 90.01
loop_
_symmetry_equiv_pos_as_xyz
'x,y,z'
loop_
_atom_site_label
_atom_site_type_symbol
_atom_site_fract_x
_atom_site_fract_y
_atom_site_fract_z
_atom_site_occupancy
La1 La 0.187 0.687 0.500 1
La2 La 0.687 0.187 0.500 1
Pt1 Pt 0.191 0.191 0.508 1
Pr1 Pr 0.438 0.438 0.000 1
Ac1 Ac 0.937 0.937 0.000 1
Pt2 Pt 0.938 0.437 0.000 1
Pt3 Pt 0.683 0.683 0.492 1
Pt4 Pt 0.437 0.938 0.000 1
```

Calculated values
Formation enthalpy at 0 K = -1.13 eV per atom
Space-group type = Fmm2 (42)
Final energy = -51.9 eV for the cell shown

***

(2)
Compound: AcLaPrPu
Source: the Alexandria database
Functional: GGA-PBE
Structure: optimized geometry

Structure (CIF):
```
data_AcLaPrPu
_symmetry_space_group_name_H-M 'P 1'
_symmetry_Int_Tables_number 1
_cell_length_a 5.924
_cell_length_b 5.924
_cell_length_c 5.924
_cell_angle_alpha 60.00
_cell_angle_beta 60.00
_cell_angle_gamma 60.00
loop_
_symmetry_equiv_pos_as_xyz
'x,y,z'
loop_
_atom_site_label
_atom_site_type_symbol
_atom_site_fract_x
_atom_site_fract_y
_atom_site_fract_z
_atom_site_occupancy
Pr1 Pr 0.500 0.500 0.500 1
La1 La 0.000 0.000 0.000 1
Ac1 Ac 0.250 0.250 0.250 1
Pu1 Pu 0.750 0.750 0.750 1
```

Calculated values
Formation enthalpy at 0 K = 0.26 eV per atom
Space-group type = F-43m (216)
Final energy = -27.1 eV for the cell shown

***

(3)
Compound: AcLaPrRh2
Source: the Alexandria database
Functional: GGA-PBE
Structure: optimized geometry

Structure (CIF):
```
data_AcLaPrRh2
_symmetry_space_group_name_H-M 'P 1'
_symmetry_Int_Tables_number 1
_cell_length_a 4.404
_cell_length_b 9.144
_cell_length_c 7.930
_cell_angle_alpha 87.66
_cell_angle_beta 73.88
_cell_angle_gamma 76.07
loop_
_symmetry_equiv_pos_as_xyz
'x,y,z'
loop_
_atom_site_label
_atom_site_type_symbol
_atom_site_fract_x
_atom_site_fract_y
_atom_site_fract_z
_atom_site_occupancy
Rh1 Rh 0.344 0.881 0.430 1
La1 La 0.613 0.625 0.148 1
Rh2 Rh 0.187 0.709 0.918 1
Pr1 Pr 0.087 0.042 0.784 1
La2 La 0.387 0.375 0.852 1
Rh3 Rh 0.656 0.119 0.570 1
Rh4 Rh 0.813 0.291 0.082 1
Pr2 Pr 0.913 0.958 0.216 1
Ac1 Ac 0.823 0.723 0.632 1
Ac2 Ac 0.177 0.277 0.368 1
```

Calculated values
Formation enthalpy at 0 K = -0.60 eV per atom
Space-group type = C2/m (12)
Final energy = -63.0 eV for the cell shown

***

(4)
Compound: Ac3La4PrS8
Source: the Alexandria database
Functional: GGA-PBE
Structure: optimized geometry

Structure (CIF):
```
data_Ac3La4PrS8
_symmetry_space_group_name_H-M 'P 1'
_symmetry_Int_Tables_number 1
_cell_length_a 8.398
_cell_length_b 8.414
_cell_length_c 8.397
_cell_angle_alpha 119.92
_cell_angle_beta 120.00
_cell_angle_gamma 90.00
loop_
_symmetry_equiv_pos_as_xyz
'x,y,z'
loop_
_atom_site_label
_atom_site_type_symbol
_atom_site_fract_x
_atom_site_fract_y
_atom_site_fract_z
_atom_site_occupancy
La1 La 0.500 0.000 0.000 1
S1 S 0.751 0.244 0.993 1
Pr1 Pr 0.000 0.500 0.000 1
S2 S 0.757 0.756 0.007 1
La2 La 0.500 0.000 0.500 1
Ac1 Ac 0.500 0.500 0.000 1
Ac2 Ac 0.500 0.500 0.500 1
La3 La 0.000 0.000 0.000 1
Ac3 Ac 0.000 0.500 0.500 1
S3 S 0.753 0.760 0.507 1
S4 S 0.751 0.244 0.501 1
La4 La 0.000 0.000 0.500 1
S5 S 0.243 0.244 0.993 1
S6 S 0.249 0.756 0.499 1
S7 S 0.247 0.240 0.493 1
S8 S 0.249 0.756 0.007 1
```

Calculated values
Formation energy from raw total energies = -2.0849 eV/atom
Space-group type = R-3m (166)
Final energy = -103.2 eV for the cell shown

***

Please write out number 4 again, unchanged.
Compound: Ac3La4PrS8
Source: the Alexandria database
Functional: GGA-PBE
Structure: optimized geometry

Structure (CIF):
```
data_Ac3La4PrS8
_symmetry_space_group_name_H-M 'P 1'
_symmetry_Int_Tables_number 1
_cell_length_a 8.398
_cell_length_b 8.414
_cell_length_c 8.397
_cell_angle_alpha 119.92
_cell_angle_beta 120.00
_cell_angle_gamma 90.00
loop_
_symmetry_equiv_pos_as_xyz
'x,y,z'
loop_
_atom_site_label
_atom_site_type_symbol
_atom_site_fract_x
_atom_site_fract_y
_atom_site_fract_z
_atom_site_occupancy
La1 La 0.500 0.000 0.000 1
S1 S 0.751 0.244 0.993 1
Pr1 Pr 0.000 0.500 0.000 1
S2 S 0.757 0.756 0.007 1
La2 La 0.500 0.000 0.500 1
Ac1 Ac 0.500 0.500 0.000 1
Ac2 Ac 0.500 0.500 0.500 1
La3 La 0.000 0.000 0.000 1
Ac3 Ac 0.000 0.500 0.500 1
S3 S 0.753 0.760 0.507 1
S4 S 0.751 0.244 0.501 1
La4 La 0.000 0.000 0.500 1
S5 S 0.243 0.244 0.993 1
S6 S 0.249 0.756 0.499 1
S7 S 0.247 0.240 0.493 1
S8 S 0.249 0.756 0.007 1
```

Calculated values
Formation energy from raw total energies = -2.0849 eV/atom
Space-group type = R-3m (166)
Final energy = -103.2 eV for the cell shown